Record 1
Below is an optimized crystal structure of Zr3Au, with properties calculated at the PBE level.

Cell and atoms, written as extended XYZ:
```
4
Lattice="-3.062 -0.472 0.610 -1.105 -4.353 -3.467 0.198 -1.156 5.551" Properties=species:S:1:pos:R:3 pbc="T T T"
Zr -1.432 -0.814 3.080
Au 0.000 0.000 0.000
Zr -0.454 -2.754 1.042
Zr -2.084 -2.412 -1.429
```

Summary:
Energy in eV/atom: -7.387
Magnetic moment in Bohr magnetons per cell: 0.0
Space group: R-3m
Energy relative to the elements in meV per atom: -156.8

---

Record 2
Below is an optimized crystal structure of Ta3Tc, with properties calculated at the PBE level.

Cell and atoms, written as extended XYZ:
```
4
Lattice="-2.901 0.843 3.454 -3.154 -2.668 -1.998 1.161 -2.572 1.603" Properties=species:S:1:pos:R:3 pbc="T T T"
Ta -0.997 -2.620 -0.198
Ta 0.000 0.000 0.000
Ta -0.870 -0.865 2.529
Tc -3.027 -0.913 0.728
```

Summary:
Energy in eV/atom: -11.709
Magnetic moment in Bohr magnetons per cell: 0.0
Space group: P4/mmm
Energy relative to the elements in meV per atom: -227.9